Density functional theory data (PBE with a Hubbard U) for an optimized crystal structure of NaNp2NiO8.

The structure in CIF format:
```
data_NaNp2NiO8
_cell_length_a 6.688
_cell_length_b 6.688
_cell_length_c 6.688
_cell_angle_alpha 126.38
_cell_angle_beta 126.38
_cell_angle_gamma 79.26
_space_group_name_H-M_alt 'P 1'
_space_group_IT_number 1
loop_
_space_group_symop_operation_xyz
'x,y,z'
loop_
_atom_site_label
_atom_site_type_symbol
_atom_site_fract_x
_atom_site_fract_y
_atom_site_fract_z
_atom_site_occupancy
Na1 Na 0.000 0.000 0.000 1
Np1 Np 0.500 0.500 0.000 1
Np2 Np 0.750 0.250 0.500 1
Ni1 Ni 0.250 0.750 0.500 1
O1 O 0.361 0.131 0.769 1
O2 O 0.361 0.592 0.231 1
O3 O 0.408 0.110 0.298 1
O4 O 0.408 0.639 0.769 1
O5 O 0.812 0.110 0.702 1
O6 O 0.869 0.639 0.231 1
O7 O 0.890 0.188 0.298 1
O8 O 0.890 0.592 0.702 1
```

Calculated values
Its volume is 187.49 Å³ per cell. Its total magnetization is 0.23 μB/atom. As for the density of states at the Fermi level: 0.92 states/eV/atom. The calculation puts the electronic total energy at -89.359 eV/cell.